(1)
Below is Ba2TaP after structural relaxation, with properties calculated at the PBE level.

Its total magnetization is 1.45 μB/cell. As for the calculated total energy: -5.243 eV/atom. The value obtained for the energy of formation from the pure elements is 33.5 meV/atom. As for the density: 6.00 g/cm³. As for the space group: Amm2.

Unit cell a=4.257 b=6.705 c=6.705 alpha=44.71 beta=90.00 gamma=90.00
Element x y z (fractional)
1 Ba 0.000 0.000 0.000
2 Ba 0.500 0.289 0.289
3 Ta 0.500 0.598 0.598
4 P 0.000 0.699 0.699

(2)
Below is ThMgMn after structural relaxation, with properties calculated at the PBE level.

Its total magnetization is 0.00 μB/cell. As for the calculated total energy: -5.934 eV/atom. The value obtained for the energy of formation from the pure elements is 127.8 meV/atom. As for the density: 7.59 g/cm³. As for the space group: C2/m.

Unit cell a=7.043 b=7.043 c=5.339 alpha=102.30 beta=102.30 gamma=31.84
Element x y z (fractional)
1 Th 0.137 0.137 0.317
2 Th 0.863 0.863 0.683
3 Mg 0.423 0.423 0.213
4 Mg 0.577 0.577 0.787
5 Mn 0.230 0.230 0.901
6 Mn 0.770 0.770 0.099